# 1
Here is crystalline PmMnIO2 at its relaxed geometry from Alexandria. Energies are from PBE+U.

a b c (Å): 4.2085 7.6557 7.8922
angles (deg): 116.66 90.00 90.00
Last column: nearest neighbours and their distance in Å.
Sites, in units of the cell vectors:
Pm 0.2500 0.6512 0.9338  4 O 2.25-2.31
Pm 0.7500 0.3488 0.0662  4 O 2.25-2.31
Mn 0.2500 0.6004 0.4266  4 O 2.12-2.18
Mn 0.7500 0.3996 0.5734  4 O 2.12-2.18
I 0.2500 0.9959 0.7573  1 Mn 2.98
I 0.7500 0.0041 0.2427  1 Mn 2.98
O 0.7500 0.5263 0.3832  3 Mn 2.12-2.17, 1 Pm 2.25
O 0.2500 0.4737 0.6168  3 Mn 2.12-2.17, 1 Pm 2.25
O 0.7500 0.5108 0.8808  1 Mn 2.18, 3 Pm 2.30-2.31
O 0.2500 0.4892 0.1192  1 Mn 2.18, 3 Pm 2.30-2.31

Computed properties:
Total DFT energy (no corrections): -6.917 eV per atom
Size of the total moment: 5.0 μB/f.u.
Symmetry: No. 11
Crystal system: monoclinic

=====

# 2
Here is crystalline Pm2MnIO8 at its relaxed geometry from Alexandria. Energies are from PBE+U.

a b c (Å): 4.7078 5.0864 6.9759
angles (deg): 86.31 90.47 95.90
Last column: nearest neighbours and their distance in Å.
Sites, in units of the cell vectors:
Pm 0.4088 0.4931 0.7500  5 O 2.27-2.42
Pm 0.5912 0.5069 0.2500  5 O 2.27-2.42
Mn 0.0000 0.0000 0.5000  4 O 1.88-2.03
I 0.0000 0.0000 0.0000  6 O 1.87-1.99
O 0.1252 0.7199 0.1612  1 I 1.90
O 0.6621 0.7807 0.9646  1 I 1.87
O 0.8410 0.1156 0.2400  1 I 1.99, 1 Mn 2.03
O 0.8748 0.2801 0.8388  1 I 1.90
O 0.3379 0.2193 0.0354  1 I 1.87
O 0.1590 0.8844 0.7600  1 I 1.99, 1 Mn 2.03
O 0.7149 0.7125 0.5220  1 Mn 1.88
O 0.2851 0.2875 0.4780  1 Mn 1.88

Computed properties:
Total DFT energy (no corrections): -6.697 eV per atom
Size of the total moment: 4.0 μB/f.u.
Symmetry: No. 2
Crystal system: triclinic

=====

# 3
Here is crystalline PmMnIO6 at its relaxed geometry from Alexandria. Energies are from PBE+U.

a b c (Å): 5.0567 5.3061 5.3061
angles (deg): 120.00 90.00 90.00
Last column: nearest neighbours and their distance in Å.
Sites, in units of the cell vectors:
Pm 0.0000 0.3333 0.6667  6 O 2.39
Mn 0.5000 0.6667 0.3333  6 O 1.94
I 0.5000 0.0000 0.0000  6 O 2.10
O 0.7175 0.6835 0.6437  1 Mn 1.94, 1 I 2.10
O 0.7175 0.3563 0.0398  1 Mn 1.94, 1 I 2.10
O 0.7175 0.9602 0.3165  1 Mn 1.94, 1 I 2.10
O 0.2825 0.3563 0.3165  1 Mn 1.94, 1 I 2.10
O 0.2825 0.6835 0.0398  1 Mn 1.94, 1 I 2.10
O 0.2825 0.9602 0.6437  1 Mn 1.94, 1 I 2.10

Computed properties:
Total DFT energy (no corrections): -6.326 eV per atom
Size of the total moment: 3.0 μB/f.u.
Symmetry: No. 149
Crystal system: trigonal